1.
Material: ZrTiFe2Se
Method: DFT, meta-GGA SCAN
State: PBEsol geometry

Cell lengths 4.2342, 4.2342, 4.7327 Å; angles 90.00, 90.00, 90.00 degrees
Space group P4/mmm (No. 123)
Unique sites:
1 Zr 0.0000 0.0000 0.0000 [1 per cell]
2 Ti 0.5000 0.5000 0.5000 [1 per cell]
3 Fe 0.0000 0.5000 0.5000 [2 per cell]
4 Se 0.5000 0.5000 0.0000 [1 per cell]

Results
* energy relative to the elements, uncorrected: 0.50 eV/atom
* D(E_F): 3.20 states/eV per cell
* volume: 16.97 A^3/atom
* DFT total energy: -20.113 eV/atom

=====

2.
Material: TlFe2Se
Method: DFT, meta-GGA SCAN
State: PBEsol geometry

Cell lengths 2.9930, 5.5216, 8.3359 Å; angles 90.00, 90.00, 90.00 degrees
Space group Immm (No. 71)
Unique sites:
1 Tl 0.0000 0.0000 0.0000 [2 per cell]
2 Fe 0.0000 0.5000 0.2238 [4 per cell]
3 Se 0.0000 0.0000 0.5000 [2 per cell]

Results
* excess energy over the best structure of this formula in the dataset: 5.870 kcal/mol of atoms
* energy relative to the elements, uncorrected: 0.46 eV/atom
* D(E_F): 4.42 states/eV per cell
* volume: 17.22 A^3/atom
* DFT total energy: -31.713 eV/atom

=====

3.
Material: TlFe2Se
Method: DFT, meta-GGA SCAN
State: PBEsol geometry

Cell lengths 7.7755, 3.1767, 6.0450 Å; angles 90.00, 102.60, 90.00 degrees
Space group Cm (No. 8)
Unique sites:
1 Tl 0.0000 0.0000 0.0000 [2 per cell]
2 Fe 0.2647 0.5000 0.2740 [2 per cell]
3 Fe 0.4893 0.0000 0.4229 [2 per cell]
4 Se 0.2237 0.0000 0.5628 [2 per cell]

Results
* excess energy over the best structure of this formula in the dataset: 0.000 kcal/mol of atoms
* energy relative to the elements, uncorrected: 0.21 eV/atom
* D(E_F): 4.98 states/eV per cell
* volume: 18.21 A^3/atom
* DFT total energy: -31.968 eV/atom

=====

4.
Material: FeWSe2
Method: DFT, meta-GGA SCAN
State: PBEsol geometry

Cell lengths 3.0965, 3.0965, 22.2755 Å; angles 90.00, 90.00, 120.00 degrees
Space group R-3m (No. 166, hexagonal axes)
Unique sites:
1 Fe 0.0000 0.0000 0.0000 [3 per cell]
2 W 0.0000 0.0000 0.5000 [3 per cell]
3 Se 0.0000 0.0000 0.2513 [6 per cell]

Results
* excess energy over the best structure of this formula in the dataset: 0.000 kcal/mol of atoms
* energy relative to the elements, uncorrected: 0.30 eV/atom
* D(E_F): 7.44 states/eV per cell
* volume: 15.41 A^3/atom
* DFT total energy: -31.694 eV/atom

=====

5.
Material: FeWSe2
Method: DFT, meta-GGA SCAN
State: PBEsol geometry

Cell lengths 3.0964, 3.0964, 6.1071 Å; angles 90.00, 90.00, 90.00 degrees
Space group P4/mmm (No. 123)
Unique sites:
1 Fe 0.0000 0.0000 0.0000 [1 per cell]
2 W 0.0000 0.0000 0.5000 [1 per cell]
3 Se 0.5000 0.5000 0.2489 [2 per cell]

Results
* excess energy over the best structure of this formula in the dataset: 1.513 kcal/mol of atoms
* energy relative to the elements, uncorrected: 0.37 eV/atom
* D(E_F): 2.79 states/eV per cell
* volume: 14.64 A^3/atom
* DFT total energy: -31.628 eV/atom

=====

6.
Material: FeW2Se
Method: DFT, meta-GGA SCAN
State: PBEsol geometry

Cell lengths 2.8708, 4.0067, 5.0566 Å; angles 90.00, 105.15, 90.00 degrees
Space group Pm (No. 6)
Unique sites:
1 Fe 0.0000 0.0000 0.0000 [1 per cell]
2 W 0.3803 0.5000 0.7567 [1 per cell]
3 W 0.6950 0.0000 0.4762 [1 per cell]
4 Se 0.0968 0.5000 0.2297 [1 per cell]

Results
* energy relative to the elements, uncorrected: 0.60 eV/atom
* D(E_F): 2.69 states/eV per cell
* volume: 14.04 A^3/atom
* DFT total energy: -43.796 eV/atom

=====

7.
Material: Y2FeSe
Method: DFT, meta-GGA SCAN
State: PBEsol geometry

Cell lengths 6.7544, 6.7544, 6.7544 Å; angles 90.00, 90.00, 90.00 degrees
Space group F-43m (No. 216)
Unique sites:
1 Y 0.0000 0.0000 0.0000 [4 per cell]
2 Y 0.2500 0.2500 0.2500 [4 per cell]
3 Fe 0.0000 0.0000 0.5000 [4 per cell]
4 Se 0.2500 0.2500 0.7500 [4 per cell]

Results
* energy relative to the elements, uncorrected: 0.17 eV/atom
* D(E_F): 13.89 states/eV per cell
* volume: 19.26 A^3/atom
* DFT total energy: -23.306 eV/atom

=====

8.
Material: Y2FeSe
Method: DFT, meta-GGA SCAN
State: PBEsol geometry

Cell lengths 4.8436, 4.8436, 3.4531 Å; angles 90.00, 90.00, 90.00 degrees
Space group P4/mmm (No. 123)
Unique sites:
1 Y 0.0000 0.5000 0.0000 [2 per cell]
2 Fe 0.0000 0.0000 0.5000 [1 per cell]
3 Se 0.5000 0.5000 0.5000 [1 per cell]

Results
* energy relative to the elements, uncorrected: -0.67 eV/atom
* D(E_F): 2.29 states/eV per cell
* volume: 20.25 A^3/atom
* DFT total energy: -24.144 eV/atom

=====

9.
Material: ZnFeSe2
Method: DFT, meta-GGA SCAN
State: PBEsol geometry

Cell lengths 4.5357, 4.5357, 3.1299 Å; angles 90.00, 90.00, 90.00 degrees
Space group P4/mmm (No. 123)
Unique sites:
1 Zn 0.0000 0.0000 0.0000 [1 per cell]
2 Fe 0.5000 0.5000 0.0000 [1 per cell]
3 Se 0.0000 0.5000 0.5000 [2 per cell]

Results
* energy relative to the elements, uncorrected: 0.29 eV/atom
* D(E_F): 3.44 states/eV per cell
* volume: 16.10 A^3/atom
* DFT total energy: -17.664 eV/atom

=====

10.
Material: ZnFe2Se
Method: DFT, meta-GGA SCAN
State: PBEsol geometry

Cell lengths 2.8991, 2.8991, 23.4205 Å; angles 90.00, 90.00, 120.00 degrees
Space group R3m (No. 160, hexagonal axes)
Unique sites:
1 Zn 0.0000 0.0000 0.0000 [3 per cell]
2 Fe 0.0000 0.0000 0.4876 [3 per cell]
3 Fe 0.0000 0.0000 0.7488 [3 per cell]
4 Se 0.0000 0.0000 0.2263 [3 per cell]

Results
* excess energy over the best structure of this formula in the dataset: 0.000 kcal/mol of atoms
* energy relative to the elements, uncorrected: 0.19 eV/atom
* D(E_F): 10.43 states/eV per cell
* volume: 14.21 A^3/atom
* DFT total energy: -17.270 eV/atom

=====

11.
Material: ZnFeSe2
Method: DFT, meta-GGA SCAN
State: PBEsol geometry

Cell lengths 3.6288, 3.6288, 5.2044 Å; angles 90.00, 90.00, 90.00 degrees
Space group P4mm (No. 99)
Unique sites:
1 Zn 0.0000 0.0000 0.0000 [1 per cell]
2 Fe 0.5000 0.5000 0.5014 [1 per cell]
3 Se 0.0000 0.0000 0.5005 [1 per cell]
4 Se 0.5000 0.5000 0.0014 [1 per cell]

Results
* energy relative to the elements, uncorrected: -0.23 eV/atom
* D(E_F): 3.76 states/eV per cell
* volume: 17.13 A^3/atom
* DFT total energy: -18.180 eV/atom

=====

12.
Material: ZnFe2Se
Method: DFT, meta-GGA SCAN
State: PBEsol geometry

Cell lengths 5.9733, 5.9733, 5.9733 Å; angles 90.00, 90.00, 90.00 degrees
Space group F-43m (No. 216)
Unique sites:
1 Zn 0.0000 0.0000 0.0000 [4 per cell]
2 Fe 0.0000 0.0000 0.5000 [4 per cell]
3 Fe 0.2500 0.2500 0.2500 [4 per cell]
4 Se 0.2500 0.2500 0.7500 [4 per cell]

Results
* excess energy over the best structure of this formula in the dataset: 3.974 kcal/mol of atoms
* energy relative to the elements, uncorrected: 0.37 eV/atom
* D(E_F): 9.98 states/eV per cell
* volume: 13.32 A^3/atom
* DFT total energy: -17.098 eV/atom

=====

13.
Material: FeSi2
Method: DFT, meta-GGA SCAN
State: PBEsol geometry

Cell lengths 4.1988, 4.1988, 2.4606 Å; angles 90.00, 90.00, 120.00 degrees
Space group P6/mmm (No. 191)
Unique sites:
1 Fe 0.0000 0.0000 0.0000 [1 per cell]
2 Si 0.3333 0.6667 0.5000 [2 per cell]

Results
* energy relative to the elements, uncorrected: 0.30 eV/atom
* D(E_F): 1.32 states/eV per cell
* volume: 12.52 A^3/atom
* DFT total energy: -12.419 eV/atom

=====

14.
Material: FeSi3
Method: DFT, meta-GGA SCAN
State: PBEsol geometry

Cell lengths 2.9843, 4.1598, 3.9939 Å; angles 90.00, 90.00, 90.00 degrees
Space group Pmm2 (No. 25)
Unique sites:
1 Fe 0.0000 0.0000 0.0000 [1 per cell]
2 Si 0.0000 0.5000 0.2800 [1 per cell]
3 Si 0.5000 0.0000 0.4499 [1 per cell]
4 Si 0.5000 0.5000 0.7892 [1 per cell]

Results
* energy relative to the elements, uncorrected: 0.34 eV/atom
* D(E_F): 1.95 states/eV per cell
* volume: 12.40 A^3/atom
* DFT total energy: -11.702 eV/atom

=====

15.
Material: Fe2Si
Method: DFT, meta-GGA SCAN
State: PBEsol geometry

Cell lengths 5.3286, 5.3286, 4.6960 Å; angles 90.00, 90.00, 90.00 degrees
Space group I4/mcm (No. 140)
Unique sites:
1 Fe 0.1552 0.3448 0.0000 [8 per cell]
2 Si 0.0000 0.0000 0.2500 [4 per cell]

Results
* energy relative to the elements, uncorrected: -0.18 eV/atom
* D(E_F): 7.83 states/eV per cell
* volume: 11.11 A^3/atom
* DFT total energy: -15.603 eV/atom

=====

16.
Material: FeSi2
Method: DFT, meta-GGA SCAN
State: PBEsol geometry

Cell lengths 9.7827, 7.7023, 7.7390 Å; angles 90.00, 90.00, 90.00 degrees
Space group Cmce (No. 64)
Unique sites:
1 Fe 0.0000 0.1925 0.1877 [8 per cell]
2 Fe 0.2162 0.0000 0.0000 [8 per cell]
3 Si 0.1265 0.0447 0.7267 [16 per cell]
4 Si 0.1284 0.2263 0.4500 [16 per cell]

Results
* energy relative to the elements, uncorrected: -0.33 eV/atom
* volume: 12.15 A^3/atom
* DFT total energy: -13.048 eV/atom

=====

17.
Material: Fe4Si
Method: DFT, meta-GGA SCAN
State: PBEsol geometry

Cell lengths 5.4391, 5.4391, 3.4612 Å; angles 90.00, 90.00, 90.00 degrees
Space group I4/m (No. 87)
Unique sites:
1 Fe 0.0995 0.6974 0.0000 [8 per cell]
2 Si 0.0000 0.0000 0.5000 [2 per cell]

Results
* energy relative to the elements, uncorrected: -0.09 eV/atom
* D(E_F): 6.47 states/eV per cell
* volume: 10.24 A^3/atom
* DFT total energy: -16.599 eV/atom

=====

18.
Material: FeSi3
Method: DFT, meta-GGA SCAN
State: PBEsol geometry

Cell lengths 4.8754, 6.9416, 2.7436 Å; angles 90.00, 90.00, 90.00 degrees
Space group Cmmm (No. 65)
Unique sites:
1 Fe 0.0000 0.0000 0.0000 [2 per cell]
2 Si 0.0000 0.5000 0.0000 [2 per cell]
3 Si 0.2500 0.2500 0.5000 [4 per cell]

Results
* energy relative to the elements, uncorrected: 0.29 eV/atom
* D(E_F): 3.22 states/eV per cell
* volume: 11.61 A^3/atom
* DFT total energy: -11.755 eV/atom

=====

19.
Material: FeSi2
Method: DFT, meta-GGA SCAN
State: PBEsol geometry

Cell lengths 6.7063, 6.7063, 6.7063 Å; angles 90.00, 90.00, 90.00 degrees
Space group Fd-3m (No. 227, origin choice 2)
Unique sites:
1 Fe 0.1250 0.1250 0.1250 [8 per cell]
2 Si 0.0000 0.0000 0.5000 [16 per cell]

Results
* energy relative to the elements, uncorrected: 0.61 eV/atom
* D(E_F): 10.15 states/eV per cell
* volume: 12.57 A^3/atom
* DFT total energy: -12.109 eV/atom

=====

20.
Material: FeSi2
Method: DFT, meta-GGA SCAN
State: PBEsol geometry

Cell lengths 5.5722, 5.5722, 2.7714 Å; angles 90.00, 90.00, 90.00 degrees
Space group P4_2/mnm (No. 136)
Unique sites:
1 Fe 0.0000 0.0000 0.0000 [2 per cell]
2 Si 0.2209 0.2209 0.5000 [4 per cell]

Results
* energy relative to the elements, uncorrected: -0.04 eV/atom
* volume: 14.34 A^3/atom
* DFT total energy: -12.759 eV/atom